1.
NdDy2ThSb4 GGA-PBE relaxed; raw formation energy = -1.11 eV per atom; N(E_F) = 1.8 states/eV/cell; space group = No. 10
1.0
4.459 0.000 0.000
0.000 7.685 -0.145
0.000 2.712 7.222
Nd Dy Th Sb
1 2 1 4
Cartesian
2.229 3.842 -0.072
0.000 2.712 7.222
2.229 1.356 3.611
0.000 5.198 3.538
0.000 7.852 5.279
4.459 2.544 1.798
2.230 6.501 1.678
2.229 3.895 5.399

=====

2.
Y10Sn4C3 GGA-PBE relaxed; DFT formation energy = -0.68 eV per atom; N(E_F) = 6.3 states/eV/cell; space group = No. 139
1.0
4.826 0.000 -0.655
-0.089 4.826 -0.655
-0.010 -0.010 18.025
Y Sn C
10 4 3
Cartesian
0.608 3.078 4.479
0.327 0.333 2.411
3.066 0.665 4.479
4.119 1.738 12.236
1.661 4.150 12.236
4.400 4.482 14.303
0.991 1.009 7.296
3.737 3.806 9.418
-0.044 2.413 -0.328
2.413 0.000 -0.328
2.693 2.743 1.732
2.034 2.072 14.983
1.415 1.441 10.419
3.313 3.374 6.295
0.660 0.672 4.861
4.067 4.143 11.854
0.000 0.000 0.000

=====

3.
AcNd4Sm4 GGA-PBE relaxed; DFT formation energy = 0.02 eV per atom; N(E_F) = 14.9 states/eV/cell; space group = No. 139
1.0
-3.630 -3.743 -0.300
-0.782 -3.483 7.451
-7.355 3.352 1.711
Ac Nd Sm
1 4 4
Cartesian
0.000 0.000 0.000
-10.301 -1.456 6.429
-1.465 -2.418 2.432
-7.288 -0.293 0.930
-4.478 -3.580 7.931
-5.147 -2.527 2.888
-6.619 -1.347 5.973
-6.626 -4.923 5.218
-5.140 1.049 3.643

=====

4.
Zr5Ge2Te2 GGA-PBE relaxed; raw formation energy = -0.84 eV per atom; N(E_F) = 9.3 states/eV/cell; space group = No. 64
1.0
-1.073 -1.919 6.955
6.271 -3.624 -0.033
2.981 5.106 5.694
Zr Ge Te
10 4 4
Cartesian
0.000 0.000 0.000
2.599 -2.772 3.461
2.804 2.352 7.468
6.612 -0.689 9.745
6.121 0.865 6.273
3.295 0.798 10.941
5.374 -2.789 5.149
1.566 0.251 2.872
2.057 -1.302 6.345
4.883 -1.235 1.677
2.178 -1.591 0.899
3.019 -3.952 6.024
5.058 -3.861 2.539
0.139 -1.683 4.384
1.532 2.607 4.781
4.130 -0.165 8.243
0.376 0.580 7.869
4.048 -0.273 4.375

=====

5.
Tb4ThSc8 GGA-PBE relaxed; DFT formation energy = 0.58 eV per atom; N(E_F) = 24.9 states/eV/cell; space group = No. 166
1.0
-4.343 -5.300 -2.736
5.500 -4.863 0.737
-2.335 -1.580 6.818
Tb Th Sc
4 1 8
Cartesian
-3.339 -3.440 2.041
1.582 -3.221 3.778
0.578 -5.081 -0.999
0.000 0.000 0.000
-0.590 -5.871 2.410
2.572 -5.337 1.537
0.315 -8.109 0.126
-3.751 -6.405 3.282
1.358 -6.178 5.085
-0.896 -8.922 3.662
-0.283 -2.820 1.158
-2.537 -5.564 -0.265
-1.495 -3.634 4.694

=====

6.
U2OsN GGA-PBE relaxed; raw formation energy = -0.44 eV per atom; N(E_F) = 5.4 states/eV/cell; space group = No. 166
1.0
-0.949 3.266 0.037
-1.918 1.185 2.547
4.678 3.080 4.362
Os U N
1 2 1
Cartesian
0.000 0.000 0.000
1.124 5.582 5.064
0.687 1.949 1.882
0.906 3.765 3.473

=====

7.
Rb3SnPb GGA-PBE relaxed; DFT formation energy = 0.38 eV per atom; N(E_F) = 4.0 states/eV/cell; space group = No. 221
1.0
-0.720 7.033 -0.399
-3.388 0.006 6.218
6.176 0.824 3.365
Pb Sn Rb
1 1 3
Cartesian
0.000 0.000 0.000
1.034 3.931 4.592
-1.694 0.003 3.109
3.088 0.412 1.682
-0.360 3.517 -0.200

=====

8.
Tb4PmAl5 GGA-PBE relaxed; DFT formation energy = -0.39 eV per atom; N(E_F) = 3.9 states/eV/cell; space group = No. 123
1.0
-2.795 1.092 -2.038
-2.215 -2.181 1.869
-3.328 13.476 11.787
Tb Pm Al
4 1 5
Cartesian
-0.677 2.742 2.398
-1.335 5.406 4.729
-1.993 8.070 7.058
-2.651 10.734 9.389
0.000 0.000 0.000
-2.856 0.877 1.159
-3.511 3.528 3.478
-4.169 6.193 5.809
-4.827 8.858 8.140
-5.481 11.509 10.459

=====

9.
YHF2 GGA-PBE relaxed; N(E_F) = 1.3 states/eV/cell; space group = No. 166
1.0
1.902 0.000 6.012
-0.951 1.647 6.012
-0.951 -1.647 6.012
Y H F
1 1 2
Cartesian
0.000 0.000 9.018
0.000 0.000 0.000
0.000 0.000 16.883
0.000 0.000 1.152

=====

10.
LiTb2Pb GGA-PBE relaxed; DFT formation energy = 0.16 eV per atom; N(E_F) = 3.4 states/eV/cell; space group = No. 166
1.0
3.465 0.000 0.000
1.732 3.001 0.000
1.732 1.000 11.626
Pb Tb Li
1 2 1
Cartesian
0.000 0.000 0.000
1.732 1.000 8.448
5.197 3.001 3.178
3.465 2.000 5.813

=====

11.
BaCe2TaO8 GGA-PBE relaxed; raw formation energy = -2.87 eV per atom; space group = No. 10
1.0
5.020 0.018 -0.003
0.058 5.047 -0.005
0.008 0.013 7.622
Ba Ce Ta O
1 2 1 8
Cartesian
0.004 0.006 3.811
2.545 2.542 5.891
2.542 2.536 1.723
0.000 0.000 0.000
0.971 4.035 1.470
3.600 3.673 7.614
4.107 1.031 1.470
4.116 1.043 6.143
1.487 1.405 -0.001
0.980 4.047 6.143
3.150 3.416 3.805
1.937 1.662 3.808

=====

12.
K2SiBiSe4 GGA-PBE relaxed; raw formation energy = -0.57 eV per atom; N(E_F) = 4.3 states/eV/cell; space group = No. 74
1.0
8.602 0.000 -0.190
-0.006 8.602 -0.190
-4.347 -4.350 6.273
K Si Bi Se
4 2 2 8
Cartesian
4.301 0.000 -0.095
2.127 -2.175 3.042
-2.174 -2.175 3.137
4.298 4.301 -0.190
2.125 2.126 2.947
4.255 -4.350 6.083
-0.003 4.301 -0.095
6.425 2.126 2.852
-2.498 2.280 6.001
4.098 0.273 3.029
0.151 3.979 2.864
6.747 1.972 -0.107
2.382 2.298 5.643
4.077 3.995 3.198
0.172 0.258 2.696
1.867 1.954 0.251

=====

13.
KHfNbZn2 GGA-PBE relaxed; DFT formation energy = 0.76 eV per atom; N(E_F) = 6.3 states/eV/cell; space group = No. 123
1.0
5.320 0.000 0.000
0.000 4.979 0.000
0.000 0.000 5.320
K Nb Hf Zn
1 1 1 2
Cartesian
2.660 2.490 2.660
0.000 0.000 0.000
0.000 2.490 0.000
0.000 0.000 2.660
2.660 0.000 0.000

=====

14.
SmY3Ho6 GGA-PBE relaxed; DFT formation energy = 0.14 eV per atom; N(E_F) = 28.8 states/eV/cell; space group = No. 36
1.0
6.155 0.000 0.000
0.000 10.855 -1.588
0.000 -3.970 10.227
Sm Y Ho
2 6 12
Cartesian
0.917 -0.887 7.770
3.995 7.772 0.869
2.823 7.312 5.874
5.901 4.094 8.439
0.419 1.820 5.612
3.497 5.065 3.026
5.901 -0.428 2.765
2.823 2.791 0.200
0.177 5.277 5.182
3.255 3.874 6.300
2.251 2.041 8.981
5.329 8.299 3.993
2.609 10.149 -1.025
3.925 0.237 6.874
0.848 6.648 1.765
5.686 -3.264 9.664
2.251 -1.415 4.646
5.329 4.844 -0.342
0.177 3.011 2.339
3.255 1.608 3.457

=====

15.
Tb4Nd2YEr2 GGA-PBE relaxed; DFT formation energy = 0.00 eV per atom; N(E_F) = 12.1 states/eV/cell; space group = No. 12
1.0
-0.651 3.180 1.581
-4.398 1.214 -8.374
-5.191 -4.418 6.747
Tb Nd Y Er
4 2 1 2
Cartesian
-6.742 0.416 0.510
-3.498 -0.440 -0.556
-2.256 0.211 2.770
-7.984 -0.235 -2.816
-3.166 1.863 -5.050
-7.074 -1.887 5.003
0.000 0.000 0.000
-5.405 2.081 -2.289
-4.835 -2.105 2.243

=====

16.
ErGa4PtRh2 GGA-PBE relaxed; DFT formation energy = -0.64 eV per atom; N(E_F) = 5.1 states/eV/cell; space group = No. 166
1.0
4.262 0.000 0.000
2.131 3.691 0.000
2.131 1.230 8.529
Er Ga Pt Rh
1 4 1 2
Cartesian
0.000 0.000 0.000
4.262 2.460 6.928
6.392 3.691 3.284
2.131 1.230 5.244
4.262 2.460 1.601
4.262 2.460 4.264
6.392 3.691 6.024
2.131 1.230 2.505

=====

17.
Er2ScIr3 GGA-PBE relaxed; DFT formation energy = -0.90 eV per atom; N(E_F) = 2.2 states/eV/cell; space group = No. 65
1.0
-0.194 2.283 -2.324
3.962 -1.748 -2.047
-5.987 -3.531 -2.970
Er Sc Ir
2 1 3
Cartesian
-2.676 -2.943 -2.668
0.651 -2.336 -2.349
0.000 0.000 0.000
1.884 0.268 -2.186
-0.839 -2.726 -4.900
-1.380 -0.269 -2.441

=====

18.
Tb6CeDy3Y2 GGA-PBE relaxed; DFT formation energy = 0.04 eV per atom; N(E_F) = 19.2 states/eV/cell; space group = No. 12
1.0
-5.123 -2.359 2.481
1.844 -1.836 -5.585
7.357 -7.096 5.895
Tb Ce Dy Y
6 1 3 2
Cartesian
1.899 -8.554 3.420
-0.623 -4.937 -0.859
2.179 -2.737 -0.630
4.203 -8.381 0.752
4.701 -6.354 3.649
-0.125 -2.910 2.038
0.000 0.000 0.000
4.357 -5.472 -1.288
-0.279 -5.820 4.078
2.039 -5.646 1.395
-0.479 -2.010 -2.896
-2.800 -2.185 -0.208

=====

19.
Ce2Cu2Au GGA-PBE relaxed; DFT formation energy = -0.32 eV per atom; N(E_F) = 10.0 states/eV/cell; space group = No. 65
1.0
4.161 0.000 -1.218
0.000 3.547 0.000
-0.188 0.000 7.089
Ce Cu Au
2 2 1
Cartesian
1.449 1.774 4.960
2.524 1.774 0.912
3.204 0.000 3.239
0.768 0.000 2.632
0.000 0.000 0.000

=====

20.
CrNi2Rh GGA-PBE relaxed; DFT formation energy = 0.45 eV per atom; N(E_F) = 11.1 states/eV/cell; space group = No. 122
1.0
-6.059 -0.291 2.406
0.127 -6.508 -0.467
-2.053 -3.545 3.252
Ni Rh Cr
4 2 2
Cartesian
-4.151 -1.875 2.206
-1.324 -4.997 0.874
-3.761 -5.351 3.156
-6.733 -8.465 4.146
0.000 0.000 0.000
-5.539 -3.618 3.314
-2.966 -3.399 0.970
-2.446 -6.726 1.877

=====

21.
PbI3N GGA-PBE relaxed; raw formation energy = 0.86 eV per atom; N(E_F) = 7.8 states/eV/cell; space group = No. 221
1.0
6.246 0.000 0.000
0.000 6.246 0.000
0.000 0.000 6.246
Pb I N
1 3 1
Cartesian
0.000 0.000 0.000
0.000 3.123 0.000
0.000 0.000 3.123
3.123 0.000 0.000
3.123 3.123 3.123

=====

22.
HoTm2Tc GGA-PBE relaxed; DFT formation energy = -0.02 eV per atom; N(E_F) = 6.0 states/eV/cell; space group = No. 123
1.0
-0.432 -3.085 -1.415
2.767 -1.146 1.655
-5.014 -2.386 6.734
Tm Ho Tc
2 1 1
Cartesian
-4.084 -1.943 5.484
-0.930 -0.443 1.249
-1.340 -3.309 3.487
1.168 -2.116 0.120

=====

Going through the records in order, we get energy values of -5.8406, -7.0503, -4.6492, -7.3084, -5.3079, -10.9686, -1.7438, -4.5886, -5.2487, -3.5609, -8.3085, -3.7528, -3.9752, -5.0160, -4.8512, -5.3212, -7.9105, -5.0010, -4.9876, -6.6864, -2.4781, -5.9908 eV/atom.